No. 1
Here is LiFeBO4 after structural relaxation from Alexandria. Energies are from GGA+U.

Calculated values
space-group type	Pnma
total DFT energy (no corrections)	-183.61	eV for the cell shown
volume	9.100	Å³/atom
total magnetization	1.98	μB/f.u.

POSCAR file:
```
LiFeBO4
1.0
10.003 0.000 0.000
0.000 5.897 0.000
0.000 0.000 4.319
Li Fe B O
4 4 4 16
direct
0.225 0.250 0.019 Li
0.275 0.750 0.519 Li
0.725 0.250 0.481 Li
0.775 0.750 0.981 Li
0.000 0.000 0.500 Fe
0.000 0.500 0.500 Fe
0.500 0.000 0.000 Fe
0.500 0.500 0.000 Fe
0.082 0.750 0.090 B
0.418 0.250 0.590 B
0.582 0.750 0.410 B
0.918 0.250 0.910 B
0.059 0.250 0.751 O
0.077 0.750 0.751 O
0.141 0.543 0.220 O
0.141 0.957 0.220 O
0.359 0.043 0.720 O
0.359 0.457 0.720 O
0.423 0.250 0.251 O
0.441 0.750 0.251 O
0.559 0.250 0.749 O
0.577 0.750 0.749 O
0.641 0.543 0.280 O
0.641 0.957 0.280 O
0.859 0.043 0.780 O
0.859 0.457 0.780 O
0.923 0.250 0.249 O
0.941 0.750 0.249 O
```

***

No. 2
Here is Li9Fe4B8O24 after structural relaxation from Alexandria. Energies are from GGA+U.

Calculated values
space-group type	P1
total DFT energy (no corrections)	-303.24	eV for the cell shown
volume	10.497	Å³/atom
total magnetization	16.97	μB/f.u.

POSCAR file:
```
Li9Fe4B8O24
1.0
5.190 0.000 0.000
0.064 9.021 0.000
0.331 0.064 10.088
Li Fe B O
9 4 8 24
direct
0.000 0.000 0.000 Li
0.001 0.313 0.495 Li
0.151 0.814 0.243 Li
0.160 0.505 0.722 Li
0.487 0.478 0.953 Li
0.491 0.483 0.479 Li
0.511 0.152 0.996 Li
0.657 0.669 0.737 Li
0.662 0.976 0.228 Li
0.184 0.166 0.754 Fe
0.471 0.816 0.487 Fe
0.680 0.316 0.245 Fe
0.974 0.671 0.989 Fe
0.166 0.832 0.750 B
0.167 0.151 0.233 B
0.490 0.151 0.490 B
0.497 0.819 0.999 B
0.664 0.326 0.751 B
0.664 0.649 0.248 B
0.989 0.337 0.991 B
0.991 0.649 0.497 B
0.035 0.025 0.211 O
0.035 0.704 0.792 O
0.038 0.276 0.281 O
0.075 0.968 0.787 O
0.112 0.471 0.968 O
0.113 0.774 0.445 O
0.114 0.207 0.954 O
0.128 0.524 0.523 O
0.232 0.819 0.027 O
0.265 0.172 0.564 O
0.391 0.812 0.676 O
0.431 0.161 0.206 O
0.530 0.456 0.750 O
0.535 0.777 0.290 O
0.544 0.197 0.794 O
0.565 0.513 0.280 O
0.580 0.014 0.453 O
0.605 0.686 0.953 O
0.620 0.277 0.446 O
0.639 0.941 0.021 O
0.727 0.658 0.525 O
0.739 0.334 0.046 O
0.895 0.668 0.179 O
0.925 0.320 0.716 O
```

***

No. 3
Here is Li3FeB2O6 after structural relaxation from Alexandria. Energies are from GGA+U.

Calculated values
space-group type	P-1
volume	11.638	Å³/atom
excess energy over the best structure of this formula in the dataset	74	meV per atom
total magnetization	4.96	μB/f.u.

POSCAR file:
```
Li3FeB2O6
1.0
5.161 0.000 0.000
0.276 7.111 0.000
0.559 2.422 7.611
Li Fe B O
6 2 4 12
direct
0.004 0.307 0.255 Li
0.244 0.367 0.767 Li
0.330 0.601 0.387 Li
0.670 0.399 0.613 Li
0.756 0.633 0.233 Li
0.996 0.693 0.745 Li
0.449 0.977 0.809 Fe
0.551 0.023 0.191 Fe
0.234 0.730 0.065 B
0.454 0.242 0.435 B
0.546 0.758 0.565 B
0.766 0.270 0.935 B
0.116 0.592 0.201 O
0.140 0.819 0.901 O
0.338 0.155 0.325 O
0.353 0.623 0.621 O
0.355 0.202 0.610 O
0.483 0.807 0.078 O
0.517 0.193 0.922 O
0.645 0.798 0.390 O
0.647 0.377 0.379 O
0.662 0.845 0.675 O
0.860 0.181 0.099 O
0.884 0.408 0.799 O
```

***

No. 4
Here is Li2FeB2O6 after structural relaxation from Alexandria. Energies are from GGA+U.

Calculated values
space-group type	R-3
volume	9.231	Å³/atom
excess energy over the best structure of this formula in the dataset	0	meV per atom
total magnetization	4.00	μB/f.u.

POSCAR file:
```
Li2FeB2O6
1.0
2.373 1.370 5.207
-2.373 1.370 5.207
0.000 -2.740 5.207
Li Fe B O
2 1 2 6
direct
0.192 0.192 0.192 Li
0.808 0.808 0.808 Li
0.000 0.000 0.000 Fe
0.410 0.410 0.410 B
0.590 0.590 0.590 B
0.138 0.382 0.717 O
0.283 0.862 0.618 O
0.382 0.717 0.138 O
0.618 0.283 0.862 O
0.717 0.138 0.382 O
0.862 0.618 0.283 O
```

***

No. 5
Here is Li2FeBO4 after structural relaxation from Alexandria. Energies are from GGA+U.

Calculated values
space-group type	Pc
volume	9.512	Å³/atom
excess energy over the best structure of this formula in the dataset	0	meV per atom
total magnetization	5.00	μB/f.u.

POSCAR file:
```
Li2FeBO4
1.0
4.805 0.000 0.000
0.000 5.116 0.000
-4.782 0.000 6.191
Li Fe B O
4 2 2 8
direct
0.000 0.151 0.000 Li
0.000 0.849 0.500 Li
0.750 0.313 0.247 Li
0.750 0.687 0.747 Li
0.258 0.322 0.754 Fe
0.258 0.678 0.254 Fe
0.510 0.180 0.500 B
0.510 0.820 0.000 B
0.211 0.320 0.300 O
0.211 0.680 0.800 O
0.409 0.100 0.992 O
0.409 0.900 0.492 O
0.599 0.307 0.701 O
0.599 0.693 0.201 O
0.827 0.194 0.506 O
0.827 0.806 0.006 O
```

***

No. 6
Here is Li2FeBO4 after structural relaxation from Alexandria. Energies are from GGA+U.

Calculated values
space-group type	Pmn2_1
volume	9.350	Å³/atom
excess energy over the best structure of this formula in the dataset	17	meV per atom
total magnetization	5.00	μB/f.u.

POSCAR file:
```
Li2FeBO4
1.0
5.803 0.000 0.000
0.000 5.376 0.000
0.000 0.000 4.795
Li Fe B O
4 2 2 8
direct
0.247 0.162 0.000 Li
0.253 0.838 0.500 Li
0.747 0.838 0.500 Li
0.753 0.162 0.000 Li
0.000 0.360 0.503 Fe
0.500 0.640 0.003 Fe
0.000 0.673 0.009 B
0.500 0.327 0.509 B
0.000 0.409 0.901 O
0.000 0.671 0.319 O
0.214 0.806 0.911 O
0.286 0.194 0.411 O
0.500 0.329 0.819 O
0.500 0.591 0.401 O
0.714 0.194 0.411 O
0.786 0.806 0.911 O
```

***

No. 7
Here is Li5Fe6B6O18 after structural relaxation from Alexandria. Energies are from GGA+U.

Calculated values
space-group type	Cm
total DFT energy (no corrections)	-243.11	eV for the cell shown
volume	10.399	Å³/atom
total magnetization	25.00	μB/f.u.

POSCAR file:
```
Li5Fe6B6O18
1.0
8.225 -3.093 0.000
8.225 3.093 0.000
-4.160 0.000 7.155
Li Fe B O
5 6 6 18
direct
0.000 0.000 0.000 Li
0.203 0.203 0.726 Li
0.503 0.503 0.001 Li
0.706 0.706 0.724 Li
0.840 0.840 0.416 Li
0.115 0.593 0.090 Fe
0.277 0.767 0.698 Fe
0.416 0.925 0.352 Fe
0.593 0.115 0.090 Fe
0.767 0.277 0.698 Fe
0.925 0.416 0.352 Fe
0.014 0.014 0.377 B
0.097 0.603 0.724 B
0.177 0.177 0.034 B
0.520 0.520 0.383 B
0.603 0.097 0.724 B
0.683 0.683 0.040 B
0.039 0.573 0.534 O
0.049 0.545 0.815 O
0.110 0.110 0.451 O
0.121 0.121 0.842 O
0.139 0.139 0.149 O
0.198 0.697 0.832 O
0.275 0.275 0.110 O
0.457 0.457 0.185 O
0.482 0.482 0.496 O
0.545 0.049 0.815 O
0.573 0.039 0.534 O
0.616 0.616 0.450 O
0.629 0.629 0.848 O
0.642 0.642 0.152 O
0.697 0.198 0.832 O
0.782 0.782 0.127 O
0.954 0.954 0.180 O
0.973 0.973 0.488 O
```

***

No. 8
Here is Li2FeBO4 after structural relaxation from Alexandria. Energies are from GGA+U.

Calculated values
space-group type	C222_1
volume	9.779	Å³/atom
excess energy over the best structure of this formula in the dataset	8	meV per atom
total magnetization	5.00	μB/f.u.

POSCAR file:
```
Li2FeBO4
1.0
3.494 -3.626 0.000
3.494 3.626 0.000
0.000 0.000 6.175
Li Fe B O
4 2 2 8
direct
0.195 0.805 0.750 Li
0.326 0.326 0.000 Li
0.674 0.674 0.500 Li
0.805 0.195 0.250 Li
0.185 0.815 0.250 Fe
0.815 0.185 0.750 Fe
0.319 0.319 0.500 B
0.681 0.681 0.000 B
0.192 0.206 0.700 O
0.206 0.192 0.300 O
0.281 0.613 0.493 O
0.387 0.719 0.007 O
0.613 0.281 0.507 O
0.719 0.387 0.993 O
0.794 0.808 0.800 O
0.808 0.794 0.200 O
```

***

No. 9
Here is Li2FeBO4 after structural relaxation from Alexandria. Energies are from GGA+U.

Calculated values
space-group type	C2/m
volume	9.872	Å³/atom
excess energy over the best structure of this formula in the dataset	68	meV per atom
total magnetization	4.98	μB/f.u.

POSCAR file:
```
Li2FeBO4
1.0
3.504 -3.655 0.000
3.504 3.655 0.000
-0.159 0.000 6.166
Li Fe B O
4 2 2 8
direct
0.178 0.822 0.000 Li
0.325 0.325 0.209 Li
0.675 0.675 0.791 Li
0.822 0.178 0.000 Li
0.196 0.804 0.500 Fe
0.804 0.196 0.500 Fe
0.318 0.318 0.754 B
0.682 0.682 0.246 B
0.196 0.196 0.528 O
0.197 0.197 0.931 O
0.281 0.612 0.744 O
0.388 0.719 0.256 O
0.612 0.281 0.744 O
0.719 0.388 0.256 O
0.803 0.803 0.069 O
0.804 0.804 0.472 O
```

***

No. 10
Here is LiFe8B8O24 after structural relaxation from Alexandria. Energies are from GGA+U.

Calculated values
space-group type	P1
total DFT energy (no corrections)	-297.53	eV for the cell shown
volume	12.033	Å³/atom
total magnetization	39.00	μB/f.u.

POSCAR file:
```
LiFe8B8O24
1.0
5.266 0.000 0.000
-0.266 9.131 0.000
-0.080 -0.149 10.261
Li Fe B O
1 8 8 24
direct
0.000 0.000 0.000 Li
0.151 0.515 0.776 Fe
0.158 0.187 0.279 Fe
0.502 0.184 0.027 Fe
0.515 0.842 0.525 Fe
0.654 0.029 0.773 Fe
0.657 0.687 0.274 Fe
0.988 0.666 0.026 Fe
0.993 0.341 0.527 Fe
0.004 0.347 0.029 B
0.149 0.514 0.276 B
0.168 0.189 0.791 B
0.483 0.177 0.521 B
0.491 0.849 0.031 B
0.655 0.016 0.271 B
0.666 0.684 0.774 B
0.997 0.676 0.523 B
0.006 0.079 0.822 O
0.043 0.386 0.329 O
0.045 0.545 0.588 O
0.092 0.310 0.717 O
0.123 0.471 0.976 O
0.156 0.236 0.080 O
0.174 0.784 0.516 O
0.232 0.186 0.473 O
0.232 0.830 0.026 O
0.400 0.544 0.281 O
0.416 0.192 0.839 O
0.488 0.575 0.785 O
0.491 0.122 0.225 O
0.551 0.888 0.324 O
0.556 0.047 0.574 O
0.611 0.979 0.992 O
0.623 0.812 0.709 O
0.648 0.294 0.513 O
0.650 0.741 0.079 O
0.750 0.333 0.034 O
0.756 0.688 0.466 O
0.907 0.668 0.834 O
0.910 0.037 0.259 O
0.983 0.610 0.214 O
```

***

No. 11
Here is Li3FeB2O6 after structural relaxation from Alexandria. Energies are from GGA+U.

Calculated values
space-group type	P-1
volume	10.427	Å³/atom
excess energy over the best structure of this formula in the dataset	0	meV per atom
total magnetization	4.98	μB/f.u.

POSCAR file:
```
Li3FeB2O6
1.0
5.030 0.000 0.000
0.080 6.420 0.000
0.103 2.277 7.750
Li Fe B O
6 2 4 12
direct
0.171 0.259 0.387 Li
0.178 0.963 0.737 Li
0.321 0.095 0.073 Li
0.679 0.905 0.927 Li
0.822 0.037 0.263 Li
0.829 0.741 0.613 Li
0.350 0.443 0.727 Fe
0.650 0.557 0.273 Fe
0.165 0.681 0.088 B
0.337 0.831 0.429 B
0.663 0.169 0.571 B
0.835 0.319 0.912 B
0.113 0.321 0.908 O
0.207 0.994 0.315 O
0.220 0.719 0.588 O
0.294 0.519 0.218 O
0.301 0.837 0.970 O
0.396 0.228 0.600 O
0.604 0.772 0.400 O
0.699 0.163 0.030 O
0.706 0.481 0.782 O
0.780 0.281 0.412 O
0.793 0.006 0.685 O
0.887 0.679 0.092 O
```

***

No. 12
Here is Li7Fe8B8O24 after structural relaxation from Alexandria. Energies are from GGA+U.

Calculated values
space-group type	P1
volume	10.385	Å³/atom
excess energy over the best structure of this formula in the dataset	3	meV per atom
total magnetization	33.00	μB/f.u.

POSCAR file:
```
Li7Fe8B8O24
1.0
5.232 0.000 0.000
0.021 9.011 0.000
2.375 4.469 10.354
Li Fe B O
7 8 8 24
direct
0.000 0.000 0.000 Li
0.053 0.384 0.243 Li
0.251 0.264 0.498 Li
0.319 0.629 0.741 Li
0.498 0.484 0.997 Li
0.563 0.881 0.241 Li
0.758 0.759 0.501 Li
0.013 0.689 0.958 Fe
0.072 0.069 0.216 Fe
0.267 0.613 0.459 Fe
0.318 0.993 0.713 Fe
0.522 0.176 0.958 Fe
0.569 0.548 0.217 Fe
0.765 0.104 0.473 Fe
0.830 0.459 0.711 Fe
0.017 0.355 0.962 B
0.077 0.733 0.199 B
0.279 0.942 0.457 B
0.319 0.326 0.705 B
0.525 0.844 0.963 B
0.568 0.226 0.207 B
0.781 0.441 0.452 B
0.813 0.808 0.713 B
0.032 0.947 0.429 O
0.046 0.788 0.763 O
0.124 0.208 0.000 O
0.162 0.495 0.951 O
0.195 0.209 0.684 O
0.225 0.481 0.670 O
0.276 0.864 0.932 O
0.308 0.709 0.243 O
0.370 0.055 0.497 O
0.426 0.360 0.192 O
0.438 0.822 0.442 O
0.472 0.102 0.179 O
0.533 0.298 0.761 O
0.534 0.452 0.421 O
0.627 0.693 0.990 O
0.663 0.967 0.970 O
0.700 0.681 0.697 O
0.707 0.954 0.679 O
0.774 0.372 0.933 O
0.802 0.218 0.246 O
0.871 0.552 0.494 O
0.938 0.324 0.435 O
0.943 0.866 0.191 O
0.978 0.618 0.159 O
```